An optimized crystal structure of Pr2Er3Te6, computed with PBE-GGA.

abc: 7.6060 13.0992 7.6392
angles: 90.00 109.46 90.00
Space group C2/m (No. 12)
Asymmetric unit:
Pr  0.0000  0.1638  0.0000 (multiplicity 4)
Er  0.0000  0.0000  0.5000 (multiplicity 2)
Er  0.0000  0.3288  0.5000 (multiplicity 4)
Te  0.2337  0.5000  0.7394 (multiplicity 4)
Te  0.2450  0.3396  0.2570 (multiplicity 8)

Output
Energy ... -115.1 eV/cell
Formation energy from raw total energies ... -1403.7 meV per atom
Total moment ... 0.000 Bohr magnetons per cell
ρ ... 7.2 g cm⁻³

***

An optimized crystal structure of PmHoThN3, computed with PBE-GGA.

abc: 6.1275 3.5670 9.1867
angles: 90.00 101.41 90.00
Space group P2_1/m (No. 11)
Asymmetric unit:
Pm  0.1573  0.2500  0.1931 (multiplicity 2)
Ho  0.3511  0.2500  0.8669 (multiplicity 2)
Th  0.2654  0.7500  0.5491 (multiplicity 2)
N  0.0456  0.2500  0.6662 (multiplicity 2)
N  0.2582  0.7500  0.9982 (multiplicity 2)
N  0.4595  0.7500  0.3439 (multiplicity 2)

Output
Energy ... -100.8 eV/cell
Formation energy from raw total energies ... -1446.7 meV per atom
Total moment ... 0.000 Bohr magnetons per cell
ρ ... 9.9 g cm⁻³

***

An optimized crystal structure of YTeRh3, computed with PBE-GGA.

abc: 4.9265 4.9265 4.9265
angles: 90.00 90.00 90.00
Space group Pm-3m (No. 221)
Asymmetric unit:
Y  0.0000  0.0000  0.0000 (multiplicity 1)
Te  0.5000  0.5000  0.5000 (multiplicity 1)
Rh  0.0000  0.0000  0.5000 (multiplicity 3)

Output
Energy ... -26.7 eV/cell
Formation energy from raw total energies ... 1000.8 meV per atom
Relative energy among the computed polymorphs ... 0.9177 eV per atom
Total moment ... 0.000 Bohr magnetons per cell
ρ ... 7.3 g cm⁻³

***

- Which value of energy does entry 3 give?
  -26.7 eV/cell

***

- What is the formula in the second record?
  PmHoThN3